Record 1
The following is a GGA-PBE calculation of YHgO3 after structural relaxation, from Alexandria.

## Properties
Formation energy without anion corrections: -1.659 eV per atom
Final energy: -5.987 eV/atom

Cell lengths 7.4510, 7.4510, 5.8051 Å; angles 90.00, 90.00, 151.88 degrees
Closest atoms and distances in Å follow each position.
Element x y z (fractional)
Y 0.1946 0.8054 0.7500  7 O 2.33-2.36
Y 0.8054 0.1946 0.2500  7 O 2.33-2.36
Hg 0.4425 0.5575 0.7500  4 O 2.22-2.26
Hg 0.5575 0.4425 0.2500  4 O 2.22-2.26
O 0.0318 0.9682 0.7500  2 Hg 2.22, 1 Y 2.35
O 0.3228 0.6772 0.0009  1 Hg 2.26, 3 Y 2.33-2.36
O 0.3228 0.6772 0.4991  1 Hg 2.26, 3 Y 2.33-2.36
O 0.6772 0.3228 0.5009  1 Hg 2.26, 3 Y 2.33-2.36
O 0.6772 0.3228 0.9991  1 Hg 2.26, 3 Y 2.33-2.36
O 0.9682 0.0318 0.2500  2 Hg 2.22, 1 Y 2.35

=====

Record 2
The following is a GGA-PBE calculation of SmErCuRh after structural relaxation, from Alexandria.

## Properties
Final energy: -5.737 eV/atom
Energy of formation: -0.554 eV per atom
ΔE to the lowest computed polymorph: 0.0 meV per atom

Cell lengths 4.3963, 5.5550, 5.5550 Å; angles 40.01, 90.00, 90.00 degrees
Closest atoms and distances in Å follow each position.
Element x y z (fractional)
Sm 0.0000 0.0000 0.0000  3 Rh 2.88-3.01, 4 Cu 2.99
Er 0.5000 0.7219 0.7219  3 Cu 2.90-3.03, 4 Rh 2.96
Cu 0.5000 0.4316 0.4316  2 Rh 2.73, 3 Er 2.90-3.03, 4 Sm 2.99
Rh 0.0000 0.2759 0.2759  2 Cu 2.73, 3 Sm 2.88-3.01, 4 Er 2.96

=====

Record 3
The following is a GGA-PBE calculation of ZrTi8N2 after structural relaxation, from Alexandria.

## Properties
Formation energy without anion corrections: -0.329 eV per atom
Final energy: -8.361 eV/atom

Cell lengths 7.5480, 7.5480, 7.5480 Å; angles 144.55, 137.40, 56.59 degrees
Closest atoms and distances in Å follow each position.
Element x y z (fractional)
Zr 0.0000 0.0000 0.0000  14 Ti 2.97-3.17
Ti 0.1283 0.3964 0.7319  1 N 2.11
Ti 0.2252 0.2252 0.0000  2 N 2.30
Ti 0.3356 0.6036 0.7319  1 N 2.11
Ti 0.3807 0.8807 0.5000  1 N 2.00
Ti 0.6193 0.1193 0.5000  1 N 2.00
Ti 0.6644 0.3964 0.2681  1 N 2.11
Ti 0.7748 0.7748 0.0000  2 N 2.30
Ti 0.8717 0.6036 0.2681  1 N 2.11
N 0.2301 0.7301 0.5000  3 Ti 2.00-2.11
N 0.7699 0.2699 0.5000  3 Ti 2.00-2.11

=====

Number 1: DOS at the Fermi energy 7.46 states/eV/cell. Number 2: DOS at the Fermi energy 2.88 states/eV/cell. Number 3: DOS at the Fermi energy 13.76 states/eV/cell.